Entry 1:
This record from the Open Quantum Materials Database describes an optimized crystal structure of ErTlSbTe3. The functional is PBE.

a b c (Å): 4.203 15.452 12.504
angles (deg): 90.00 90.00 90.00
Space group Cmcm (No. 63)
One atom of each set of equivalent atoms:
Er (0.000, 0.000, 0.000) (multiplicity 4)
Tl (0.000, 0.293, 0.250) (multiplicity 4)
Sb (0.000, 0.382, 0.750) (multiplicity 4)
Te (0.000, 0.031, 0.750) (multiplicity 4)
Te (0.000, 0.359, 0.509) (multiplicity 8)

Calculated values
The value obtained for the electronic total energy is -3.96 eV per atom.

---

Entry 2:
This record from the Open Quantum Materials Database describes an optimized crystal structure of NaCdSiAu. The functional is PBE.

a b c (Å): 6.713 6.713 6.713
angles (deg): 90.00 90.00 90.00
Space group F-43m (No. 216)
One atom of each set of equivalent atoms:
Na (0.000, 0.000, 0.000) (multiplicity 4)
Cd (0.250, 0.250, 0.750) (multiplicity 4)
Si (0.250, 0.250, 0.250) (multiplicity 4)
Au (0.000, 0.000, 0.500) (multiplicity 4)

Calculated values
As for the energy above the lowest structure with this stoichiometry: 0.0119 eV/atom. The value obtained for the electronic total energy is -2.67 eV per atom.

---

Entry 3:
This record from the Open Quantum Materials Database describes an optimized crystal structure of Th7Ir3. The functional is PBE.

a b c (Å): 10.0878 10.0878 6.3138
angles (deg): 90.00 90.00 120.00
Space group P6_3mc (No. 186)
One atom of each set of equivalent atoms:
Th (0.0849, 0.5424, 0.0000) (multiplicity 6)
Th (0.1282, 0.2564, 0.7074) (multiplicity 6)
Th (0.3333, 0.6667, 0.5143) (multiplicity 2)
Ir (0.1872, 0.3744, 0.2604) (multiplicity 6)

Calculated values
The value obtained for the electronic total energy is -8.51 eV per atom. The value obtained for the formation energy is -0.66 eV per atom.

---

Entry 4:
This record from the Open Quantum Materials Database describes an optimized crystal structure of RbNp2F8. The functional is PBE.

a b c (Å): 7.040 10.695 4.360
angles (deg): 90.00 100.34 90.00
Space group C2/m (No. 12)
One atom of each set of equivalent atoms:
Rb (0.000, 0.000, 0.000) (multiplicity 2)
Np (0.000, 0.324, 0.500) (multiplicity 4)
F (0.000, 0.261, 0.000) (multiplicity 4)
F (0.106, 0.500, 0.784) (multiplicity 4)
F (0.191, 0.141, 0.574) (multiplicity 8)

Calculated values
The value obtained for the electronic total energy is -7.19 eV per atom.

---

Entry 5:
This record from the Open Quantum Materials Database describes an optimized crystal structure of PuAgB. The functional is PBE.

a b c (Å): 6.369 6.369 6.369
angles (deg): 90.00 90.00 90.00
Space group F-43m (No. 216)
One atom of each set of equivalent atoms:
Pu (0.000, 0.000, 0.000) (multiplicity 4)
Ag (0.250, 0.250, 0.750) (multiplicity 4)
B (0.250, 0.250, 0.250) (multiplicity 4)

Calculated values
As for the energy above the lowest structure with this stoichiometry: 0.7512 eV/atom. The value obtained for the electronic total energy is -6.72 eV per atom.

---

Entry 6:
This record from the Open Quantum Materials Database describes an optimized crystal structure of BaLaGe2Pd. The functional is PBE.

a b c (Å): 11.248 4.689 11.147
angles (deg): 90.00 117.65 90.00
Space group C2/m (No. 12)
One atom of each set of equivalent atoms:
Ba (0.194, 0.000, 0.105) (multiplicity 4)
La (0.024, 0.000, 0.335) (multiplicity 4)
Ge (0.004, 0.500, 0.131) (multiplicity 4)
Ge (0.134, 0.500, 0.552) (multiplicity 4)
Pd (0.242, 0.500, 0.363) (multiplicity 4)

Calculated values
The value obtained for the electronic total energy is -4.98 eV per atom.